VASP calculation (PBE-GGA) on BaLi2Pt after structural relaxation. Values from VASP.

```
&SYSTEM
  ibrav = 0, nat = 8, ntyp = 3
/
ATOMIC_SPECIES
Ba 137.33 Ba.upf
Li 6.94 Li.upf
Pt 195.08 Pt.upf
CELL_PARAMETERS angstrom
-2.402 2.402 9.161
2.402 -2.402 9.161
2.402 2.402 -9.161
ATOMIC_POSITIONS angstrom
Ba 0.000 0.000 0.000
Ba 0.000 2.402 4.580
Li 1.201 -0.009 6.871
Li 2.393 1.201 2.290
Li 1.201 2.412 -2.290
Li 0.009 1.201 11.451
Pt 2.402 0.000 4.580
Pt 0.000 0.000 9.161
```

Calculated values
polymorph energy (0 for the lowest one)	167	meV/atom
symmetry	I-42d

VASP calculation (PBE-GGA) on Dy3Tm8Sc3 after structural relaxation. Values from VASP.

```
&SYSTEM
  ibrav = 0, nat = 14, ntyp = 3
/
ATOMIC_SPECIES
Dy 162.50 Dy.upf
Tm 168.93 Tm.upf
Sc 44.96 Sc.upf
CELL_PARAMETERS angstrom
8.222 -2.685 0.000
8.222 2.685 0.000
-2.222 0.000 9.378
ATOMIC_POSITIONS angstrom
Dy 0.000 0.000 0.000
Dy 7.105 0.000 2.380
Dy 7.117 0.000 6.997
Tm 1.247 0.000 2.957
Tm 1.129 0.000 6.881
Tm 3.740 0.000 0.901
Tm 4.249 0.000 4.590
Tm 9.973 0.000 4.787
Tm 10.482 0.000 8.477
Tm 13.093 0.000 2.497
Tm 12.975 0.000 6.421
Sc -1.111 0.000 4.689
Sc 4.136 0.000 8.287
Sc 10.086 0.000 1.090
```

Calculated values
total energy	-4.771	eV per atom
symmetry	C2/m

VASP calculation (PBE-GGA) on Li2SmZn2 after structural relaxation. Values from VASP.

```
&SYSTEM
  ibrav = 0, nat = 10, ntyp = 3
/
ATOMIC_SPECIES
Li 6.94 Li.upf
Sm 150.36 Sm.upf
Zn 65.41 Zn.upf
CELL_PARAMETERS angstrom
-1.784 2.259 12.754
1.784 -2.259 12.754
1.784 2.259 -12.754
ATOMIC_POSITIONS angstrom
Li 1.784 1.129 -5.230
Li 0.000 1.129 5.025
Li 1.784 1.129 7.729
Li 0.000 1.129 17.984
Sm 1.784 1.129 1.965
Sm 0.000 1.129 10.789
Zn 1.784 -1.129 9.481
Zn 1.784 -1.129 12.122
Zn 0.000 3.388 0.632
Zn 0.000 3.388 3.273
```

Calculated values
total energy	-2.401	eV per atom
symmetry	Imma

Please write out number 2 again, unchanged.
VASP calculation (PBE-GGA) on Dy3Tm8Sc3 after structural relaxation. Values from VASP.

```
&SYSTEM
  ibrav = 0, nat = 14, ntyp = 3
/
ATOMIC_SPECIES
Dy 162.50 Dy.upf
Tm 168.93 Tm.upf
Sc 44.96 Sc.upf
CELL_PARAMETERS angstrom
8.222 -2.685 0.000
8.222 2.685 0.000
-2.222 0.000 9.378
ATOMIC_POSITIONS angstrom
Dy 0.000 0.000 0.000
Dy 7.105 0.000 2.380
Dy 7.117 0.000 6.997
Tm 1.247 0.000 2.957
Tm 1.129 0.000 6.881
Tm 3.740 0.000 0.901
Tm 4.249 0.000 4.590
Tm 9.973 0.000 4.787
Tm 10.482 0.000 8.477
Tm 13.093 0.000 2.497
Tm 12.975 0.000 6.421
Sc -1.111 0.000 4.689
Sc 4.136 0.000 8.287
Sc 10.086 0.000 1.090
```

Calculated values
total energy	-4.771	eV per atom
symmetry	C2/m